The following is a PBE calculation of a geometry-optimized PmDyTeO2 structure, from OQMD.

Cell: 3.963 3.963 12.598 Å, 90.00 90.00 90.00°
Space group I4mm (No. 107)
Unique sites:
Pm  0.000  0.000  0.000 x2
Dy  0.000  0.000  0.678 x2
Te  0.000  0.000  0.340 x2
O  0.000  0.500  0.095 x4

Computed properties:
E_tot = -7.4156 eV per atom

***

The following is a PBE calculation of a geometry-optimized Pr2Dy2O5 structure, from OQMD.

Cell: 3.888 3.888 10.388 Å, 90.00 90.00 90.00°
Space group P4/mmm (No. 123)
Unique sites:
Pr  0.000  0.000  0.239 x2
Dy  0.500  0.500  0.000 x1
Dy  0.500  0.500  0.500 x1
O  0.000  0.000  0.500 x1
O  0.000  0.500  0.132 x4

Computed properties:
Energy above the lowest structure with this stoichiometry = 11 meV/atom
E_tot = -7.5571 eV per atom

***

The following is a PBE calculation of a geometry-optimized PrDyO4 structure, from OQMD.

Cell: 6.723 3.877 6.342 Å, 90.00 97.45 90.00°
Space group Cm (No. 8)
Unique sites:
Pr  0.000  0.000  0.000 x2
Dy  0.115  0.500  0.538 x2
O  0.154  0.500  0.899 x2
O  0.219  0.000  0.347 x2
O  0.387  0.000  0.214 x2
O  0.455  0.500  0.613 x2

Computed properties:
E_tot = -7.7388 eV per atom

***

The following is a PBE calculation of a geometry-optimized PrDy2O4 structure, from OQMD.

Cell: 6.330 6.330 10.653 Å, 90.00 90.00 90.00°
Space group I4_1/a (No. 88, origin choice 2)
Unique sites:
Pr  0.000  0.250  0.125 x4
Dy  0.000  0.000  0.500 x8
O  0.154  0.432  0.318 x16

Computed properties:
E_tot = -7.8058 eV per atom

***

The following is a PBE calculation of a geometry-optimized Pr2DyO3 structure, from OQMD.

Cell: 3.4796 3.4796 8.8294 Å, 90.00 90.00 120.00°
Space group P-3m1 (No. 164)
Unique sites:
Pr  0.3333  0.6667  0.1712 x2
Dy  0.0000  0.0000  0.5000 x1
O  0.0000  0.0000  0.0000 x1
O  0.3333  0.6667  0.6363 x2

Computed properties:
E_tot = -7.5961 eV per atom

***

The following is a PBE calculation of a geometry-optimized PrDy2O3 structure, from OQMD.

Cell: 3.4543 3.4543 8.5416 Å, 90.00 90.00 120.00°
Space group P-3m1 (No. 164)
Unique sites:
Pr  0.0000  0.0000  0.0000 x1
Dy  0.3333  0.6667  0.6641 x2
O  0.0000  0.0000  0.5000 x1
O  0.3333  0.6667  0.2008 x2

Computed properties:
E_tot = -7.6055 eV per atom